A geometry-optimized AlV2Fe5 structure, computed with PBE-GGA.

The calculated total energy is -0.603 Ry/atom. As for the formation energy from the elements: -164 meV per atom. For the magnetic moment, the calculation gives 0.604 μB/atom.

```
AlV2Fe5
1.0
4.894 0.000 0.000
0.000 9.691 0.000
0.000 0.000 3.941
Al V Fe
2 4 10
Direct
0.000 0.000 0.000 Al
0.500 0.500 0.000 Al
0.177 0.373 0.500 V
0.323 0.873 0.500 V
0.677 0.127 0.500 V
0.823 0.627 0.500 V
0.000 0.500 0.000 Fe
0.126 0.747 0.000 Fe
0.187 0.121 0.500 Fe
0.313 0.621 0.500 Fe
0.374 0.247 0.000 Fe
0.500 0.000 0.000 Fe
0.626 0.753 0.000 Fe
0.687 0.379 0.500 Fe
0.813 0.879 0.500 Fe
0.874 0.253 0.000 Fe
```

A geometry-optimized TlHg3Pb3 structure, computed with PBE-GGA.

The calculated total energy is -0.130 Ry/atom. Its energy above the lowest structure with this stoichiometry is 257 meV per atom. As for the formation energy from the elements: 290 meV per atom. For the magnetic moment, the calculation gives 0.000 μB/atom.

```
TlHg3Pb3
1.0
8.287 0.000 0.000
0.000 8.287 0.000
0.000 0.000 8.287
Tl Hg Pb
2 6 6
Direct
0.000 0.000 0.000 Tl
0.500 0.500 0.500 Tl
0.000 0.250 0.500 Hg
0.000 0.750 0.500 Hg
0.250 0.500 0.000 Hg
0.500 0.000 0.250 Hg
0.500 0.000 0.750 Hg
0.750 0.500 0.000 Hg
0.000 0.500 0.250 Pb
0.000 0.500 0.750 Pb
0.250 0.000 0.500 Pb
0.500 0.250 0.000 Pb
0.500 0.750 0.000 Pb
0.750 0.000 0.500 Pb
```

A geometry-optimized YTi2NiAs structure, computed with PBE-GGA.

The calculated total energy is -0.482 Ry/atom. As for the formation energy from the elements: -27 meV per atom. For the magnetic moment, the calculation gives 0.101 μB/atom.

```
YTi2NiAs
1.0
4.489 0.000 0.000
0.000 4.489 0.000
0.000 0.000 5.277
Y Ti Ni As
1 2 1 1
Direct
0.000 0.000 0.000 Y
0.000 0.500 0.500 Ti
0.500 0.000 0.500 Ti
0.000 0.000 0.500 Ni
0.500 0.500 0.000 As
```

A geometry-optimized PrTmIr structure, computed with PBE-GGA.

The calculated total energy is -0.480 Ry/atom. Its energy above the lowest structure with this stoichiometry is 151 meV per atom. As for the formation energy from the elements: -492 meV per atom. For the magnetic moment, the calculation gives 0.000 μB/atom.

```
PrTmIr
1.0
-1.754 1.754 6.472
1.754 -1.754 6.472
1.754 1.754 -6.472
Pr Tm Ir
1 1 1
Direct
0.000 0.000 0.000 Pr
0.255 0.255 0.000 Tm
0.641 0.641 0.000 Ir
```

A geometry-optimized La2Pm2Pr2Sm structure, computed with PBE-GGA.

The calculated total energy is -0.352 Ry/atom. As for the formation energy from the elements: 18 meV per atom. For the magnetic moment, the calculation gives 0.000 μB/atom.

```
La2Pm2Pr2Sm
1.0
5.840 -2.614 0.000
5.840 2.614 0.000
-1.178 0.000 8.190
La Pm Pr Sm
2 2 2 1
Direct
0.142 0.142 0.427 La
0.858 0.858 0.573 La
0.430 0.430 0.285 Pm
0.570 0.570 0.715 Pm
0.285 0.285 0.859 Pr
0.715 0.715 0.141 Pr
0.000 0.000 0.000 Sm
```

A geometry-optimized Rb4Sm3TlO8 structure, computed with PBE-GGA.

The calculated total energy is -0.436 Ry/atom. The raw formation energy comes out at -210.1 kJ/mol of atoms. For the magnetic moment, the calculation gives 0.000 μB/atom.

```
Rb4Sm3TlO8
1.0
3.592 2.074 6.598
-3.592 2.074 6.598
0.000 -4.148 6.598
Rb Sm Tl O
4 3 1 8
Direct
0.000 0.000 0.000 Rb
0.000 0.500 0.500 Rb
0.500 0.000 0.500 Rb
0.500 0.500 0.000 Rb
0.000 0.000 0.500 Sm
0.000 0.500 0.000 Sm
0.500 0.000 0.000 Sm
0.500 0.500 0.500 Tl
0.225 0.730 0.730 O
0.226 0.226 0.226 O
0.270 0.270 0.775 O
0.270 0.775 0.270 O
0.730 0.225 0.730 O
0.730 0.730 0.225 O
0.774 0.774 0.774 O
0.775 0.270 0.270 O
```

A geometry-optimized MgNi4C structure, computed with PBE-GGA.

The calculated total energy is -0.403 Ry/atom. As for the formation energy from the elements: 171 meV per atom. For the magnetic moment, the calculation gives 0.000 μB/atom.

```
MgNi4C
1.0
3.653 0.000 0.000
0.000 3.653 0.000
0.000 0.000 5.954
Mg Ni C
1 4 1
Direct
0.000 0.000 0.000 Mg
0.000 0.500 0.500 Ni
0.500 0.000 0.500 Ni
0.500 0.500 0.191 Ni
0.500 0.500 0.809 Ni
0.500 0.500 0.500 C
```

A geometry-optimized KP2Pt4 structure, computed with PBE-GGA.

The calculated total energy is -0.407 Ry/atom. As for the formation energy from the elements: -389 meV per atom. For the magnetic moment, the calculation gives 0.000 μB/atom.

```
KP2Pt4
1.0
8.134 0.000 0.000
0.000 8.134 0.000
0.000 0.000 3.652
K P Pt
2 4 8
Direct
0.000 0.000 0.000 K
0.500 0.500 0.500 K
0.224 0.224 0.500 P
0.276 0.724 0.000 P
0.724 0.276 0.000 P
0.776 0.776 0.500 P
0.090 0.667 0.500 Pt
0.167 0.410 0.000 Pt
0.333 0.910 0.500 Pt
0.410 0.167 0.000 Pt
0.590 0.833 0.000 Pt
0.667 0.090 0.500 Pt
0.833 0.590 0.000 Pt
0.910 0.333 0.500 Pt
```